Entry from Alexandria: a relaxed PrDy2Th3Se6 crystal (PBE).

Computed properties:
theoretical density = 8.8 g cm⁻³
total magnetic moment = 0.0 μB per formula unit
uncorrected formation energy = -1.646 eV/atom
space-group type = C2/m, No. 12

abc: 7.0672 7.0672 7.4539
angles: 99.04 99.04 119.47
Sites, in units of the cell vectors:
Th 0.1593 0.8407 0.5000
Se 0.4253 0.0813 0.2426
Th 0.5000 0.5000 0.5000
Se 0.9187 0.5747 0.7574
Se 0.5747 0.9187 0.7574
Dy 0.3314 0.6686 0.0000
Pr 0.0000 0.0000 0.0000
Se 0.7325 0.7325 0.2328
Se 0.2675 0.2675 0.7672
Th 0.8407 0.1593 0.5000
Se 0.0813 0.4253 0.2426
Dy 0.6686 0.3314 0.0000



Entry from Alexandria: a relaxed PmGaCu3 crystal (PBE).

Computed properties:
energy relative to the lowest polymorph listed for this composition = 294 meV per atom
energy relative to the elements = 79 meV/atom
theoretical density = 6.9 g cm⁻³
total magnetic moment = 0.0 μB per formula unit
space-group type = I-4m2, No. 119

abc: 4.3737 4.3737 10.6939
angles: 101.80 101.80 90.00
Sites, in units of the cell vectors:
Ga 0.6588 0.1588 0.3176
Cu 0.1242 0.8730 0.2484
Cu 0.1242 0.3754 0.2484
Cu 0.5741 0.5741 0.1482
Cu 0.4259 0.4259 0.8518
Pm 0.0000 0.0000 0.0000
Ga 0.8412 0.3412 0.6824
Cu 0.6246 0.8758 0.7516
Cu 0.1270 0.8758 0.7516
Pm 0.2500 0.7500 0.5000



Entry from Alexandria: a relaxed Zr2AsOs crystal (PBE).

Computed properties:
energy relative to the elements = -163 meV/atom
theoretical density = 9.9 g cm⁻³
total magnetic moment = 0.0 μB per formula unit
space-group type = P4mm, No. 99

abc: 3.1190 3.1190 7.7204
angles: 90.00 90.00 90.00
Sites, in units of the cell vectors:
Os 0.5000 0.5000 0.7141
Zr 0.0000 0.0000 0.9652
Zr 0.5000 0.5000 0.2813
As 0.0000 0.0000 0.5394